Record 1
DFT (GGA-PBE) results for a relaxed CeSmThCd crystal.

Space group ... No. 216

```
CeSmThCd
1.0
5.437 0.000 0.000
2.718 4.708 0.000
2.718 1.569 4.439
Sm Cd Th Ce
1 1 1 1
direct
0.000 0.000 0.000 Sm
0.750 0.750 0.750 Cd
0.500 0.500 0.500 Th
0.250 0.250 0.250 Ce
```

Record 2
DFT (GGA-PBE) results for a relaxed CeSmTmCd crystal.

Space group ... No. 216

```
CeSmTmCd
1.0
-3.458 4.191 0.655
-4.783 -0.771 2.544
-0.823 2.115 4.979
Sm Tm Cd Ce
1 1 1 1
direct
0.000 0.000 0.000 Sm
0.250 0.250 0.250 Tm
0.750 0.750 0.750 Cd
0.500 0.500 0.500 Ce
```

Record 3
DFT (GGA-PBE) results for a relaxed CeSmYCd crystal.

Space group ... No. 216

```
CeSmYCd
1.0
5.445 0.000 0.000
2.723 4.716 0.000
2.723 1.572 4.446
Ce Y Sm Cd
1 1 1 1
direct
0.500 0.500 0.500 Ce
0.750 0.750 0.750 Y
0.250 0.250 0.250 Sm
0.000 0.000 0.000 Cd
```

Record 4
DFT (GGA-PBE) results for a relaxed CeSmZnCd crystal.

Energy relative to the lowest polymorph listed for this composition ... 31 meV/atom
Space group ... No. 216

```
CeSmZnCd
1.0
5.293 0.000 0.000
2.646 4.584 0.000
2.646 1.528 4.321
Ce Cd Zn Sm
1 1 1 1
direct
0.500 0.500 0.500 Ce
0.750 0.750 0.750 Cd
0.250 0.250 0.250 Zn
0.000 0.000 0.000 Sm
```

| no. | VASP energy (eV/atom) | M_tot (μB/atom) |
| --- | --- | --- |
| 1 | -4.663 | 0.002 |
| 2 | -4.001 | 0.384 |
| 3 | -4.451 | 0.189 |
| 4 | -3.411 | 0.458 |